# 1
# PBE-GGA Dy3Al3Co2, optimized geometry
# Energy of formation in eV per atom: -0.4137
# Crystal system: orthorhombic
# Size of the total moment in μB per formula unit: 0.000
data_Dy3Al3Co2
_cell_length_a 7.4008
_cell_length_b 14.9313
_cell_length_c 5.7528
_cell_angle_alpha 90.00
_cell_angle_beta 90.00
_cell_angle_gamma 90.00
_symmetry_space_group_name_H-M 'P 1'
_symmetry_Int_Tables_number 1
loop_
_symmetry_equiv_pos_as_xyz
'x,y,z'
loop_
_atom_site_label
_atom_site_type_symbol
_atom_site_fract_x
_atom_site_fract_y
_atom_site_fract_z
Dy1 Dy 0.0320 0.1077 0.1061
Dy2 Dy 0.0320 0.3923 0.1061
Dy3 Dy 0.1666 0.2500 0.6360
Dy4 Dy 0.3334 0.7500 0.1360
Dy5 Dy 0.4680 0.6077 0.6061
Dy6 Dy 0.4680 0.8923 0.6061
Dy7 Dy 0.5320 0.1077 0.3939
Dy8 Dy 0.5320 0.3923 0.3939
Dy9 Dy 0.6666 0.2500 0.8640
Dy10 Dy 0.8334 0.7500 0.3640
Dy11 Dy 0.9680 0.6077 0.8939
Dy12 Dy 0.9680 0.8923 0.8939
Al1 Al 0.1594 0.0360 0.5979
Al2 Al 0.1594 0.4640 0.5979
Al3 Al 0.1774 0.7500 0.6177
Al4 Al 0.3226 0.2500 0.1177
Al5 Al 0.3406 0.5360 0.0979
Al6 Al 0.3406 0.9640 0.0979
Al7 Al 0.6594 0.0360 0.9021
Al8 Al 0.6594 0.4640 0.9021
Al9 Al 0.6774 0.7500 0.8823
Al10 Al 0.8226 0.2500 0.3823
Al11 Al 0.8406 0.5360 0.4021
Al12 Al 0.8406 0.9640 0.4021
Co1 Co 0.1379 0.6066 0.3761
Co2 Co 0.1379 0.8934 0.3761
Co3 Co 0.3621 0.1066 0.8761
Co4 Co 0.3621 0.3934 0.8761
Co5 Co 0.6379 0.6066 0.1239
Co6 Co 0.6379 0.8934 0.1239
Co7 Co 0.8621 0.1066 0.6239
Co8 Co 0.8621 0.3934 0.6239



# 2
# PBE-GGA RbTmTl2, optimized geometry
# Energy of formation in eV per atom: -0.0035
# Crystal system: trigonal
# Excess energy over the best structure of this formula in the dataset in meV per atom: 153.9
# Size of the total moment in μB per formula unit: 0.000
data_RbTmTl2
_cell_length_a 11.2093
_cell_length_b 11.2093
_cell_length_c 11.2093
_cell_angle_alpha 19.40
_cell_angle_beta 19.40
_cell_angle_gamma 19.40
_symmetry_space_group_name_H-M 'P 1'
_symmetry_Int_Tables_number 1
loop_
_symmetry_equiv_pos_as_xyz
'x,y,z'
loop_
_atom_site_label
_atom_site_type_symbol
_atom_site_fract_x
_atom_site_fract_y
_atom_site_fract_z
Rb1 Rb 0.0000 0.0000 0.0000
Tm1 Tm 0.5000 0.5000 0.5000
Tl1 Tl 0.2399 0.2399 0.2399
Tl2 Tl 0.7601 0.7601 0.7601



# 3
# PBE-GGA Tm4Mg5Ru2, optimized geometry
# Energy of formation in eV per atom: -0.2022
# Crystal system: monoclinic
# Size of the total moment in μB per formula unit: 0.000
data_Tm4Mg5Ru2
_cell_length_a 7.8293
_cell_length_b 3.4465
_cell_length_c 9.8783
_cell_angle_alpha 90.00
_cell_angle_beta 92.97
_cell_angle_gamma 90.00
_symmetry_space_group_name_H-M 'P 1'
_symmetry_Int_Tables_number 1
loop_
_symmetry_equiv_pos_as_xyz
'x,y,z'
loop_
_atom_site_label
_atom_site_type_symbol
_atom_site_fract_x
_atom_site_fract_y
_atom_site_fract_z
Tm1 Tm 0.1639 0.0000 0.3551
Tm2 Tm 0.2008 0.0000 0.9512
Tm3 Tm 0.7992 0.0000 0.0488
Tm4 Tm 0.8361 0.0000 0.6449
Mg1 Mg 0.1890 0.5000 0.6629
Mg2 Mg 0.4420 0.5000 0.1760
Mg3 Mg 0.5000 0.5000 0.5000
Mg4 Mg 0.5580 0.5000 0.8240
Mg5 Mg 0.8110 0.5000 0.3371
Ru1 Ru 0.0722 0.5000 0.1503
Ru2 Ru 0.9278 0.5000 0.8497



# 4
# PBE-GGA Zr3SiSe, optimized geometry
# Crystal system: cubic
# Excess energy over the best structure of this formula in the dataset in meV per atom: 0.0
# Size of the total moment in μB per formula unit: 0.000
data_Zr3SiSe
_cell_length_a 4.9367
_cell_length_b 4.9367
_cell_length_c 4.9367
_cell_angle_alpha 90.00
_cell_angle_beta 90.00
_cell_angle_gamma 90.00
_symmetry_space_group_name_H-M 'P 1'
_symmetry_Int_Tables_number 1
loop_
_symmetry_equiv_pos_as_xyz
'x,y,z'
loop_
_atom_site_label
_atom_site_type_symbol
_atom_site_fract_x
_atom_site_fract_y
_atom_site_fract_z
Zr1 Zr 0.0000 0.0000 0.5000
Zr2 Zr 0.0000 0.5000 0.0000
Zr3 Zr 0.5000 0.0000 0.0000
Si1 Si 0.5000 0.5000 0.5000
Se1 Se 0.0000 0.0000 0.0000